<P>
Entry from Alexandria via LeMat-Bulk: a relaxed structure of CaCoIO2 (PBE with a Hubbard U).

a b c (Å): 4.3167 4.3167 6.7074
angles (deg): 90.00 90.00 90.00
Last column: nearest neighbours and their distance in Å.
Positions (direct):
1 I 0.0000 0.0000 0.5000  4 Co 3.05, 2 Ca 3.35
2 Ca 0.0000 0.0000 0.0000  4 O 2.16
3 Co 0.5000 0.5000 0.5000  4 I 3.05
4 O 0.0000 0.5000 0.0000  2 Ca 2.16
5 O 0.5000 0.0000 0.0000  2 Ca 2.16

Values from the calculation:
- Symmetry: No. 123

<Q>
Entry from Alexandria via LeMat-Bulk: a relaxed structure of CaCoIO2 (PBE with a Hubbard U).

a b c (Å): 4.1451 4.1451 5.0941
angles (deg): 90.00 90.00 90.00
Last column: nearest neighbours and their distance in Å.
Positions (direct):
1 I 0.0000 0.0000 0.5000  2 Co 2.55
2 Ca 0.5000 0.5000 0.5000  4 I 2.93
3 Co 0.0000 0.0000 0.0000  4 O 2.07
4 O 0.0000 0.5000 0.0000  2 Co 2.07
5 O 0.5000 0.0000 0.0000  2 Co 2.07

Values from the calculation:
- Symmetry: No. 123

In order of decreasing stability: <Q>, <P>.